No. 1
The following is a PBE calculation of a geometry-optimized Sr2TlBr2 structure, from Alexandria.

a = 9.2896 Å, b = 9.2896 Å, c = 3.8381 Å
α = 90.00°, β = 90.00°, γ = 90.00°
Positions (direct):
Tl  0.5000  0.5000  0.0000
Tl  0.0000  0.0000  0.0000
Br  0.6255  0.1255  0.0000
Br  0.1255  0.3745  0.0000
Br  0.3745  0.8745  0.0000
Br  0.8745  0.6255  0.0000
Sr  0.1802  0.6802  0.5000
Sr  0.3198  0.1802  0.5000
Sr  0.8198  0.3198  0.5000
Sr  0.6802  0.8198  0.5000

Properties
Its size of the total moment is 0.00 μB/cell. The raw formation energy is -1060 meV/atom. Its symmetry is P4/mbm (127). The value obtained for the distance to the lowest polymorph of the same formula is 0.111 eV/atom.

No. 2
The following is a PBE calculation of a geometry-optimized TaP2RuO structure, from Alexandria.

a = 4.9014 Å, b = 4.9014 Å, c = 3.7770 Å
α = 90.00°, β = 90.00°, γ = 90.00°
Positions (direct):
P  0.5000  0.0000  0.0000
P  0.0000  0.5000  0.0000
Ta  0.0000  0.0000  0.0000
Ru  0.5000  0.5000  0.5000
O  0.0000  0.0000  0.5000

Properties
Its size of the total moment is 2.33 μB/cell. The raw formation energy is 71 meV/atom. Its symmetry is P4/mmm (123). The value obtained for the distance to the lowest polymorph of the same formula is 0.000 eV/atom.

No. 3
The following is a PBE calculation of a geometry-optimized TlNiPt structure, from Alexandria.

a = 4.9899 Å, b = 4.9899 Å, c = 4.9899 Å
α = 144.91°, β = 135.80°, γ = 57.64°
Positions (direct):
Tl  0.6622  0.6622  0.0000
Pt  0.3422  0.3422  0.0000
Ni  0.9956  0.9956  0.0000

Properties
Its size of the total moment is 0.00 μB/cell. Its symmetry is Imm2 (44). The value obtained for the distance to the lowest polymorph of the same formula is 0.021 eV/atom.